## ScAlRu2 (GGA-PBE)

Data for a relaxed structure of ScAlRu2.

extended XYZ file:
```
4
Lattice="4.994 -0.006 -0.002 1.684 4.701 0.002 -2.675 -3.292 2.635" Properties=species:S:1:pos:R:3 pbc="T T T"
Sc 2.829 -0.475 1.317
Ru 0.059 0.041 0.000
Ru 3.280 2.306 0.000
Al 1.174 1.878 1.319
```

Properties
Total moment in Bohr magnetons per cell: 0.0
Energy relative to the elements in eV per atom: -0.3432